Ce2SmCu | PBE-GGA | optimized geometry

- Excess energy over the best structure of this formula in the dataset: 0 meV/atom
- Total magnetization: 0.12 μB/atom
- DFT formation energy: 0.053 eV/atom
- Volume: 106.6 Å³ per cell
- Fermi-level density of states: 9.99 states/eV/f.u.

Lattice parameters (Å, degrees): 3.614 3.614 8.160 90.00 90.00 90.00
Space group P4/mmm (No. 123)
One atom of each set of equivalent atoms:
Ce (0.000, 0.000, 0.190) (multiplicity 2)
Sm (0.500, 0.500, 0.500) (multiplicity 1)
Cu (0.500, 0.500, 0.000) (multiplicity 1)